Entry 1:
Here is crystalline Cs3Dy2ScSe6 at its relaxed geometry from the Alexandria database. Energies are from PBE-GGA.

Geometry as extended XYZ:
```
12
Lattice="3.641 -6.305 0.000 3.641 6.305 0.000 -2.428 0.000 8.343" Properties=species:S:1:pos:R:3 pbc="T T T"
Cs 0.000 0.000 0.000
Cs 3.641 2.135 0.000
Cs 3.641 -2.135 0.000
Dy 2.427 4.206 4.172
Dy 2.427 -4.206 4.172
Sc 2.427 0.000 4.172
Se 1.255 2.029 2.653
Se 0.082 0.000 5.701
Se 1.255 -2.029 2.653
Se 3.598 2.029 5.690
Se 4.771 0.000 2.642
Se 3.598 -2.029 5.690
```

Values from the calculation:
- Theoretical density: 5386 kg/m3
- DOS(E_F): 0.00 states/eV per cell
- Raw formation energy: -1.670 eV/atom
- V: 31.922 Å³ per atom
- M_tot: 0.000 μB/atom

Entry 2:
Here is crystalline Cs3DySc2Te6 at its relaxed geometry from the Alexandria database. Energies are from PBE-GGA.

Geometry as extended XYZ:
```
12
Lattice="3.840 -6.650 0.000 3.840 6.650 0.000 -2.562 0.000 8.863" Properties=species:S:1:pos:R:3 pbc="T T T"
Cs 0.000 0.000 0.000
Cs 3.840 2.172 0.000
Cs 3.840 -2.172 0.000
Dy 2.559 0.000 4.432
Sc 2.559 4.429 4.432
Sc 2.559 -4.429 4.432
Te 1.236 2.291 2.802
Te -0.088 0.000 6.049
Te 1.236 -2.291 2.802
Te 3.881 2.291 6.061
Te 5.205 0.000 2.814
Te 3.881 -2.291 6.061
```

Values from the calculation:
- Theoretical density: 5197 kg/m3
- Raw formation energy: -1.280 eV/atom
- V: 37.720 Å³ per atom
- M_tot: 0.000 μB/atom

Entry 3:
Here is crystalline Cs4Dy3ScTe8 at its relaxed geometry from the Alexandria database. Energies are from PBE-GGA.

Geometry as extended XYZ:
```
16
Lattice="4.510 2.604 8.902 -4.510 2.604 8.902 0.000 -5.207 8.902" Properties=species:S:1:pos:R:3 pbc="T T T"
Cs 0.000 0.000 0.000
Cs -2.255 -1.302 8.902
Cs -2.255 1.302 17.804
Cs 0.000 2.604 8.902
Dy -4.510 0.000 13.353
Dy -2.255 1.302 4.451
Dy 2.255 1.302 4.451
Sc 0.000 0.000 13.353
Te 0.000 0.000 6.151
Te -2.188 -1.263 15.008
Te 0.000 -2.526 11.698
Te -2.188 1.263 11.698
Te 2.188 -1.263 15.008
Te 0.000 2.526 15.008
Te 2.188 1.263 11.698
Te 0.000 0.000 20.555
```

Values from the calculation:
- Theoretical density: 5520 kg/m3
- Raw formation energy: -1.344 eV/atom
- V: 39.199 Å³ per atom
- M_tot: 0.000 μB/atom

Entry 4:
Here is crystalline Cs3DySc3Te8 at its relaxed geometry from the Alexandria database. Energies are from PBE-GGA.

Geometry as extended XYZ:
```
15
Lattice="7.382 -4.266 0.000 7.382 4.266 0.000 -4.917 0.000 9.140" Properties=species:S:1:pos:R:3 pbc="T T T"
Cs 0.000 0.000 0.000
Cs 3.691 2.133 0.000
Cs 3.691 -2.133 0.000
Dy -2.458 0.000 4.570
Sc 1.233 2.133 4.570
Sc 1.233 -2.133 4.570
Sc 4.923 0.000 4.570
Te 0.114 0.000 6.280
Te 3.642 2.038 6.280
Te 2.461 0.000 2.915
Te 6.205 2.038 2.860
Te 3.642 -2.038 6.280
Te 7.386 0.000 6.225
Te 6.205 -2.038 2.860
Te 9.733 0.000 2.860
```

Values from the calculation:
- Theoretical density: 4953 kg/m3
- DOS(E_F): 5.42 states/eV per cell
- Raw formation energy: -1.226 eV/atom
- V: 38.375 Å³ per atom
- M_tot: 0.000 μB/atom